1.
Entry from the Alexandria database: ZnCo2Os at its PBEsol-relaxed geometry (meta-GGA SCAN).

Unit cell a=5.7263 b=5.7263 c=5.7263 alpha=90.00 beta=90.00 gamma=90.00
Sites, in units of the cell vectors:
Zn 0.0000 0.0000 0.0000
Zn 0.0000 0.5000 0.5000
Zn 0.5000 0.0000 0.5000
Zn 0.5000 0.5000 0.0000
Co 0.0000 0.0000 0.5000
Co 0.0000 0.5000 0.0000
Co 0.2500 0.2500 0.2500
Co 0.2500 0.7500 0.7500
Co 0.5000 0.0000 0.0000
Co 0.5000 0.5000 0.5000
Co 0.7500 0.2500 0.7500
Co 0.7500 0.7500 0.2500
Os 0.2500 0.2500 0.7500
Os 0.2500 0.7500 0.2500
Os 0.7500 0.2500 0.2500
Os 0.7500 0.7500 0.7500

Output
Volume in Å³ per cell: 187.8
Formation enthalpy at 0 K in eV/f.u.: 1.46
Symmetry: F-43m
Spin magnetization in μB/cell: 0.007

2.
Entry from the Alexandria database: InOsCl2 at its PBEsol-relaxed geometry (meta-GGA SCAN).

Unit cell a=2.7991 b=4.1534 c=8.5052 alpha=90.00 beta=90.00 gamma=90.00
Sites, in units of the cell vectors:
In 0.0000 0.0000 0.0000
Os 0.5000 0.5000 0.8659
Cl 0.0000 0.0000 0.2915
Cl 0.5000 0.5000 0.6105

Output
Volume in Å³ per cell: 98.9
Raw formation energy in eV/atom: 0.198
Symmetry: Pmm2
Spin magnetization in μB/cell: 0.000
E above lowest polymorph in meV/atom: 208

3.
Entry from the Alexandria database: Zn5P at its PBEsol-relaxed geometry (meta-GGA SCAN).

Unit cell a=2.5319 b=14.4289 c=4.8543 alpha=90.00 beta=90.00 gamma=90.00
Sites, in units of the cell vectors:
Zn 0.0000 0.0000 0.0000
Zn 0.0000 0.1673 0.5000
Zn 0.0000 0.3334 0.0000
Zn 0.0000 0.6666 0.0000
Zn 0.0000 0.8327 0.5000
Zn 0.5000 0.1666 0.0000
Zn 0.5000 0.3327 0.5000
Zn 0.5000 0.5000 0.0000
Zn 0.5000 0.6673 0.5000
Zn 0.5000 0.8334 0.0000
P 0.0000 0.5000 0.5000
P 0.5000 0.0000 0.5000

Output
Volume in Å³ per cell: 177.3
Formation enthalpy at 0 K in eV/f.u.: 0.95
Symmetry: Cmmm
Spin magnetization in μB/cell: 0.000

4.
Entry from the Alexandria database: AsC5 at its PBEsol-relaxed geometry (meta-GGA SCAN).

Unit cell a=4.3097 b=4.3097 c=4.3097 alpha=60.00 beta=60.00 gamma=60.00
Sites, in units of the cell vectors:
As 0.0000 0.0000 0.0000
C 0.2269 0.5910 0.5910
C 0.2500 0.2500 0.2500
C 0.5910 0.2269 0.5910
C 0.5910 0.5910 0.2269
C 0.5910 0.5910 0.5910

Output
Volume in Å³ per cell: 56.6
Formation enthalpy at 0 K in eV/f.u.: 20.61
Symmetry: F-43m
Spin magnetization in μB/cell: 0.000